Entry from Alexandria: a relaxed structure of ThAl7Ga12 (PBE).

Calculated values
Its space-group type is Im-3, No. 204. The density of states at the Fermi level is 11.911 states/eV per cell. The calculation puts the energy of formation at 243 meV/atom.

Cell: 8.3475 8.3475 8.3475 Å, 109.47 109.47 109.47°
Fractional coordinates of all 20 atoms:
Ga  0.6931  0.8173  0.5104
Ga  0.8173  0.1242  0.3069
Al  0.5000  0.0000  0.5000
Al  0.5000  0.5000  0.5000
Ga  0.6931  0.1827  0.8758
Al  0.0000  0.5000  0.5000
Th  0.0000  0.0000  0.0000
Ga  0.3069  0.8173  0.1242
Ga  0.4896  0.3069  0.1827
Al  0.0000  0.0000  0.5000
Ga  0.3069  0.1827  0.4896
Al  0.5000  0.0000  0.0000
Ga  0.1827  0.8758  0.6931
Ga  0.1827  0.4896  0.3069
Ga  0.1242  0.3069  0.8173
Ga  0.5104  0.6931  0.8173
Ga  0.8173  0.5104  0.6931
Ga  0.8758  0.6931  0.1827
Al  0.5000  0.5000  0.0000
Al  0.0000  0.5000  0.0000

Entry from Alexandria: a relaxed structure of ZrHgI2N (PBE).

Calculated values
Its space-group type is P4/mmm, No. 123. The density of states at the Fermi level is 7.382 states/eV per cell. The energy above the most stable polymorph in this dataset comes out at 1349 meV per atom. As for the formation energy from raw total energies: 1131 meV per atom.

Cell: 6.0830 6.0830 3.8769 Å, 90.00 90.00 90.00°
Fractional coordinates of all 5 atoms:
N  0.0000  0.0000  0.5000
Hg  0.0000  0.0000  0.0000
I  0.0000  0.5000  0.0000
Zr  0.5000  0.5000  0.5000
I  0.5000  0.0000  0.0000

Entry from Alexandria: a relaxed structure of Sr2Mn2Os (PBE).

Calculated values
Its space-group type is I4/mmm, No. 139. The density of states at the Fermi level is 3.442 states/eV per cell. The calculation puts the energy of formation at 946 meV/atom. The energy above the most stable polymorph in this dataset comes out at 300 meV per atom.

Cell: 6.0994 6.0994 5.5531 Å, 56.69 56.69 90.00°
Fractional coordinates of all 5 atoms:
Os  0.0000  0.0000  0.0000
Mn  0.3340  0.3340  0.3319
Sr  0.7500  0.2500  0.5000
Sr  0.2500  0.7500  0.5000
Mn  0.6660  0.6660  0.6681

Entry from Alexandria: a relaxed structure of KGdAl4 (PBE).

Calculated values
Its space-group type is F-43m, No. 216. The density of states at the Fermi level is 3.298 states/eV per cell. The calculation puts the energy of formation at -113 meV/atom.

Cell: 5.7160 5.7160 5.7160 Å, 60.00 60.00 60.00°
Fractional coordinates of all 6 atoms:
Al  0.1224  0.6259  0.6259
Al  0.6259  0.6259  0.6259
K  0.2500  0.2500  0.2500
Al  0.6259  0.1224  0.6259
Gd  0.0000  0.0000  0.0000
Al  0.6259  0.6259  0.1224

Entry from Alexandria: a relaxed structure of PtRh2Au (PBE).

Calculated values
Its space-group type is C2/m, No. 12. The density of states at the Fermi level is 6.012 states/eV per cell. The calculation puts the energy of formation at 127 meV/atom. The energy above the most stable polymorph in this dataset comes out at 68 meV per atom.

Cell: 4.8191 4.8191 4.8805 Å, 80.21 80.21 33.79°
Fractional coordinates of all 4 atoms:
Au  0.0000  0.0000  0.5000
Pt  0.5000  0.5000  0.0000
Rh  0.2457  0.2457  0.7598
Rh  0.7543  0.7543  0.2402

Entry from Alexandria: a relaxed structure of AsHRh2 (PBE).

Calculated values
Its space-group type is I-42d, No. 122. The density of states at the Fermi level is 0.275 states/eV per cell. The energy above the most stable polymorph in this dataset comes out at 11 meV per atom.

Cell: 4.9374 4.9374 5.5837 Å, 63.76 63.76 90.00°
Fractional coordinates of all 8 atoms:
H  0.2500  0.7500  0.5000
Rh  0.5240  0.1250  0.2500
H  0.5000  0.5000  0.0000
As  0.7500  0.2500  0.5000
Rh  0.2260  0.6250  0.2500
Rh  0.8750  0.7740  0.7500
Rh  0.3750  0.4760  0.7500
As  0.0000  0.0000  0.0000

Repeat the second record exactly.
Entry from Alexandria: a relaxed structure of ZrHgI2N (PBE).

Calculated values
Its space-group type is P4/mmm, No. 123. The density of states at the Fermi level is 7.382 states/eV per cell. The energy above the most stable polymorph in this dataset comes out at 1349 meV per atom. As for the formation energy from raw total energies: 1131 meV per atom.

Cell: 6.0830 6.0830 3.8769 Å, 90.00 90.00 90.00°
Fractional coordinates of all 5 atoms:
N  0.0000  0.0000  0.5000
Hg  0.0000  0.0000  0.0000
I  0.0000  0.5000  0.0000
Zr  0.5000  0.5000  0.5000
I  0.5000  0.0000  0.0000

- What is the formula in the second record?
  ZrHgI2N